DFT (PBE) results for a relaxed structure of GaTe2W.

Results
Density: 6.4 g/cm3
E_tot: -4.978 eV per atom
Size of the total moment: 4.43 μB per cell

a b c (Å): 6.800 6.800 11.446
angles (deg): 90.00 90.00 90.00
Space group I-42d (No. 122)
Asymmetric unit:
Ga: 0.000 0.000 0.000
Te: 0.209 0.250 0.625
W: 0.000 0.000 0.500